Record 1
The following is a DFT calculation (PBE) of NbBOs3 after structural relaxation.

Cell: 4.7790 4.7790 4.7790 Å, 90.00 90.00 90.00°
Last column: nearest neighbours and their distance in Å.
Positions (direct):
1 Nb 0.0000 0.0000 0.0000  6 Os 2.39
2 B 0.5000 0.5000 0.5000  12 Os 3.38
3 Os 0.0000 0.5000 0.0000  2 Nb 2.39
4 Os 0.0000 0.0000 0.5000  2 Nb 2.39
5 Os 0.5000 0.0000 0.0000  2 Nb 2.39

Summary:
- N(E_F): 1.177 states/eV/atom
- Space group: Pm-3m, No. 221
- Total DFT energy (no corrections): -6.863 eV per atom


Record 2
The following is a DFT calculation (PBE) of NbB2Os2 after structural relaxation.

Cell: 6.4262 6.4262 2.8201 Å, 90.00 90.00 90.00°
Last column: nearest neighbours and their distance in Å.
Positions (direct):
1 Nb 0.0000 0.0000 0.0000  4 B 2.46
2 Nb 0.5000 0.5000 0.0000  4 B 2.46
3 B 0.3527 0.8527 0.0000  6 Os 2.34-2.36, 2 Nb 2.46
4 B 0.8527 0.6473 0.0000  6 Os 2.34-2.36, 2 Nb 2.46
5 B 0.6473 0.1473 0.0000  6 Os 2.34-2.36, 2 Nb 2.46
6 B 0.1473 0.3527 0.0000  6 Os 2.34-2.36, 2 Nb 2.46
7 Os 0.1474 0.6474 0.5000  6 B 2.34-2.36
8 Os 0.6474 0.8526 0.5000  6 B 2.34-2.36
9 Os 0.8526 0.3526 0.5000  6 B 2.34-2.36
10 Os 0.3526 0.1474 0.5000  6 B 2.34-2.36

Summary:
- N(E_F): 0.544 states/eV/atom
- Space group: P4/mbm, No. 127
- Total DFT energy (no corrections): -9.238 eV per atom


Record 3
The following is a DFT calculation (PBE) of Nb2B2Os after structural relaxation.

Cell: 5.8846 5.8846 3.5139 Å, 90.00 90.00 90.00°
Last column: nearest neighbours and their distance in Å.
Positions (direct):
1 Nb 0.1755 0.6755 0.5000  6 B 2.48
2 Nb 0.6755 0.8245 0.5000  6 B 2.48
3 Nb 0.8245 0.3245 0.5000  6 B 2.48
4 Nb 0.3245 0.1755 0.5000  6 B 2.48
5 B 0.3854 0.8854 0.0000  1 B 1.91
6 B 0.8854 0.6146 0.0000  1 B 1.91
7 B 0.6146 0.1146 0.0000  1 B 1.91
8 B 0.1146 0.3854 0.0000  1 B 1.91
9 Os 0.0000 0.0000 0.0000  4 B 2.37
10 Os 0.5000 0.5000 0.0000  4 B 2.37

Summary:
- N(E_F): 0.468 states/eV/atom
- Space group: P4/mbm, No. 127
- Total DFT energy (no corrections): -9.531 eV per atom


Record 4
The following is a DFT calculation (PBE) of NbBOs after structural relaxation.

Cell: 3.9764 3.9878 5.2307 Å, 90.00 112.37 90.00°
Last column: nearest neighbours and their distance in Å.
Positions (direct):
1 Nb 0.8898 0.2500 0.7804  4 B 2.39-2.43, 1 Os 2.65
2 Nb 0.1102 0.7500 0.2196  4 B 2.39-2.43, 1 Os 2.65
3 B 0.2455 0.2500 0.4918  4 Os 2.35-2.40, 4 Nb 2.39-2.43
4 B 0.7545 0.7500 0.5082  4 Os 2.35-2.40, 4 Nb 2.39-2.43
5 Os 0.6165 0.2500 0.2335  4 B 2.35-2.40
6 Os 0.3835 0.7500 0.7665  4 B 2.35-2.40

Summary:
- N(E_F): 0.555 states/eV/atom
- Space group: Cmcm, No. 63
- Total DFT energy (no corrections): -9.437 eV per atom


Record 5
The following is a DFT calculation (PBE) of Nb2B2Os after structural relaxation.

Cell: 5.9276 5.9276 6.9195 Å, 90.00 90.00 90.00°
Last column: nearest neighbours and their distance in Å.
Positions (direct):
1 Nb 0.6644 0.8141 0.5000  6 B 2.43-2.50
2 Nb 0.3356 0.1859 0.5000  6 B 2.43-2.50
3 Nb 0.8356 0.3141 0.0000  6 B 2.43-2.50
4 Nb 0.1644 0.6859 0.0000  6 B 2.43-2.50
5 Nb 0.8141 0.3356 0.5000  6 B 2.43-2.50
6 Nb 0.1859 0.6644 0.5000  6 B 2.43-2.50
7 Nb 0.3141 0.1644 0.0000  6 B 2.43-2.50
8 Nb 0.6859 0.8356 0.0000  6 B 2.43-2.50
9 B 0.3862 0.8862 0.2500  1 B 1.91
10 B 0.6138 0.1138 0.2500  1 B 1.91
11 B 0.1138 0.3862 0.7500  1 B 1.91
12 B 0.8862 0.6138 0.7500  1 B 1.91
13 B 0.8862 0.6138 0.2500  1 B 1.91
14 B 0.1138 0.3862 0.2500  1 B 1.91
15 B 0.3862 0.8862 0.7500  1 B 1.91
16 B 0.6138 0.1138 0.7500  1 B 1.91
17 Os 0.5000 0.5000 0.2212  4 B 2.39
18 Os 0.0000 0.0000 0.7212  4 B 2.39
19 Os 0.5000 0.5000 0.7788  4 B 2.39
20 Os 0.0000 0.0000 0.2788  4 B 2.39

Summary:
- N(E_F): 0.557 states/eV/atom
- Space group: P4/mnc, No. 128
- Total DFT energy (no corrections): -9.540 eV per atom


Record 6
The following is a DFT calculation (PBE) of Nb2B2Os after structural relaxation.

Cell: 3.6984 3.6984 5.4550 Å, 70.18 70.18 90.00°
Last column: nearest neighbours and their distance in Å.
Positions (direct):
1 Nb 0.7500 0.2500 0.5000  4 B 2.44, 4 Nb 2.62
2 Nb 0.2500 0.7500 0.5000  4 B 2.44, 4 Nb 2.62
3 B 0.4170 0.4170 0.1660  1 B 1.59
4 B 0.5830 0.5830 0.8340  1 B 1.59
5 Os 0.0000 0.0000 0.0000  8 B 2.73, 8 Nb 3.02

Summary:
- N(E_F): 0.574 states/eV/atom
- Space group: I4/mmm, No. 139
- Total DFT energy (no corrections): -8.561 eV per atom


Record 7
The following is a DFT calculation (PBE) of Nb2BOs after structural relaxation.

Cell: 7.6839 7.6839 5.8432 Å, 48.89 48.89 90.00°
Last column: nearest neighbours and their distance in Å.
Positions (direct):
1 Nb 0.5052 0.1250 0.2500  2 B 2.23
2 Nb 0.2448 0.6250 0.2500  2 B 2.23
3 Nb 0.3750 0.4948 0.7500  2 B 2.23
4 Nb 0.8750 0.7552 0.7500  2 B 2.23
5 B 0.5000 0.5000 0.0000  2 Os 2.15, 4 Nb 2.23
6 B 0.2500 0.7500 0.5000  2 Os 2.15, 4 Nb 2.23
7 Os 0.0000 0.0000 0.0000  2 B 2.15
8 Os 0.7500 0.2500 0.5000  2 B 2.15

Summary:
- N(E_F): 1.036 states/eV/atom
- Space group: I-42d, No. 122
- Total DFT energy (no corrections): -9.316 eV per atom


Record 8
The following is a DFT calculation (PBE) of NbB3Os after structural relaxation.

Cell: 4.0471 4.0471 4.0471 Å, 90.00 90.00 90.00°
Last column: nearest neighbours and their distance in Å.
Positions (direct):
1 Nb 0.0000 0.0000 0.0000  6 B 2.02
2 B 0.0000 0.5000 0.0000  2 Nb 2.02
3 B 0.0000 0.0000 0.5000  2 Nb 2.02
4 B 0.5000 0.0000 0.0000  2 Nb 2.02
5 Os 0.5000 0.5000 0.5000  12 B 2.86

Summary:
- N(E_F): 0.315 states/eV/atom
- Space group: Pm-3m, No. 221
- Total DFT energy (no corrections): -6.222 eV per atom


Record 9
The following is a DFT calculation (PBE) of NbBOs after structural relaxation.

Cell: 3.1144 9.1162 15.8791 Å, 90.00 90.00 90.00°
Last column: nearest neighbours and their distance in Å.
Positions (direct):
1 Nb 0.0000 0.7993 0.4959  4 B 2.36-2.37
2 Nb 0.0000 0.2007 0.5041  4 B 2.36-2.37
3 Nb 0.0000 0.2993 0.0041  4 B 2.36-2.37
4 Nb 0.0000 0.7007 0.9959  4 B 2.36-2.37
5 Nb 0.0000 0.5149 0.5941  6 B 2.33-2.40
6 Nb 0.0000 0.4851 0.4059  6 B 2.33-2.40
7 Nb 0.0000 0.0149 0.9059  6 B 2.33-2.40
8 Nb 0.0000 0.9851 0.0941  6 B 2.33-2.40
9 Nb 0.0000 0.6883 0.2022  2 B 2.44
10 Nb 0.0000 0.3117 0.7978  2 B 2.44
11 Nb 0.0000 0.1883 0.2978  2 B 2.44
12 Nb 0.0000 0.8117 0.7022  2 B 2.44
13 B 0.5000 0.6045 0.4976  2 B 1.88-1.91
14 B 0.5000 0.3955 0.5024  2 B 1.88-1.91
15 B 0.5000 0.1045 0.0024  2 B 1.88-1.91
16 B 0.5000 0.8955 0.9976  2 B 1.88-1.91
17 B 0.0000 0.6088 0.8326  6 Os 2.23-2.25
18 B 0.0000 0.3912 0.1674  6 Os 2.23-2.25
19 B 0.0000 0.1088 0.6674  6 Os 2.23-2.25
20 B 0.0000 0.8912 0.3326  6 Os 2.23-2.25
21 B 0.5000 0.7149 0.5979  1 B 1.88
22 B 0.5000 0.2851 0.4021  1 B 1.88
23 B 0.5000 0.2149 0.9021  1 B 1.88
24 B 0.5000 0.7851 0.0979  1 B 1.88
25 Os 0.5000 0.7204 0.3555  3 B 2.23-2.49
26 Os 0.5000 0.2796 0.6445  3 B 2.23-2.49
27 Os 0.5000 0.2204 0.1445  3 B 2.23-2.49
28 Os 0.5000 0.7796 0.8555  3 B 2.23-2.49
29 Os 0.5000 0.5160 0.0943  3 B 2.25-2.45
30 Os 0.5000 0.4840 0.9057  3 B 2.25-2.45
31 Os 0.5000 0.0160 0.4057  3 B 2.25-2.45
32 Os 0.5000 0.9840 0.5943  3 B 2.25-2.45
33 Os 0.5000 0.5605 0.7349  2 B 2.24
34 Os 0.5000 0.4395 0.2651  2 B 2.24
35 Os 0.5000 0.0605 0.7651  2 B 2.24
36 Os 0.5000 0.9395 0.2349  2 B 2.24

Summary:
- N(E_F): 0.398 states/eV/atom
- Space group: Pbam, No. 55
- Total DFT energy (no corrections): -9.847 eV per atom


Record 10
The following is a DFT calculation (PBE) of NbBOs after structural relaxation.

Cell: 3.1121 3.4522 7.2340 Å, 90.00 102.42 90.00°
Last column: nearest neighbours and their distance in Å.
Positions (direct):
1 Nb 0.5898 0.7500 0.1795  6 B 2.39-2.43
2 Nb 0.4102 0.2500 0.8205  6 B 2.39-2.43
3 B 0.9612 0.7500 0.9223  2 B 2.05
4 B 0.0388 0.2500 0.0777  2 B 2.05
5 Os 0.7949 0.7500 0.5898  1 B 2.35
6 Os 0.2051 0.2500 0.4102  1 B 2.35

Summary:
- N(E_F): 0.794 states/eV/atom
- Space group: Cmcm, No. 63
- Total DFT energy (no corrections): -9.601 eV per atom


Number 1: calculated formation energy 3.2241 eV/atom. Number 2: calculated formation energy -0.0613 eV/atom. Number 3: calculated formation energy -0.5862 eV/atom. Number 4: calculated formation energy -0.1116 eV/atom. Number 5: calculated formation energy -0.5953 eV/atom. Number 6: calculated formation energy 0.3836 eV/atom. Number 7: calculated formation energy 0.1952 eV/atom. Number 8: calculated formation energy 2.0446 eV/atom. Number 9: calculated formation energy -0.5214 eV/atom. Number 10: calculated formation energy -0.2749 eV/atom.